1.
First-principles (PBE-GGA) data for a relaxed structure of TiTl2In2, as listed in Alexandria.

Cell lengths 7.697, 7.697, 4.429 Å; angles 90.00, 90.00, 90.00 degrees
Atoms (fractional coordinates):
Tl: 0.170 0.670 0.500
Tl: 0.670 0.830 0.500
Tl: 0.830 0.330 0.500
Tl: 0.330 0.170 0.500
Ti: 0.000 0.000 0.000
Ti: 0.500 0.500 0.000
In: 0.360 0.860 0.000
In: 0.860 0.640 0.000
In: 0.640 0.140 0.000
In: 0.140 0.360 0.000

## Properties
Formation energy from the elements: 0.34 eV per atom
DOS at the Fermi energy: 1.04 states/eV/atom
Total magnetization: 2.66 Bohr magnetons per cell
Space group: No. 127
Total energy: -3.2808 eV per atom



2.
First-principles (PBE-GGA) data for a relaxed structure of Hf8Sn2Au, as listed in Alexandria.

Cell lengths 4.702, 5.909, 9.679 Å; angles 106.99, 104.06, 90.00 degrees
Atoms (fractional coordinates):
Hf: 0.413 0.502 0.825
Hf: 0.651 0.045 0.303
Hf: 0.768 0.657 0.535
Hf: 0.974 0.239 0.948
Hf: 0.232 0.343 0.465
Hf: 0.349 0.955 0.697
Hf: 0.587 0.498 0.175
Hf: 0.026 0.761 0.052
Sn: 0.818 0.226 0.636
Sn: 0.182 0.774 0.364
Au: 0.500 0.000 0.000

## Properties
Formation energy from the elements: -0.10 eV per atom
DOS at the Fermi energy: 1.04 states/eV/atom
Total magnetization: 0.00 Bohr magnetons per cell
Space group: No. 12
Total energy: -8.3664 eV per atom



3.
First-principles (PBE-GGA) data for a relaxed structure of CaZn2Hg, as listed in Alexandria.

Cell lengths 4.454, 4.454, 4.460 Å; angles 90.00, 90.00, 90.00 degrees
Atoms (fractional coordinates):
Zn: 0.000 0.000 0.000
Zn: 0.500 0.500 0.000
Ca: 0.500 0.000 0.500
Hg: 0.000 0.500 0.500

## Properties
Formation energy from the elements: -0.19 eV per atom
DOS at the Fermi energy: 0.38 states/eV/atom
Total magnetization: 0.00 Bohr magnetons per cell
Space group: No. 123
Total energy: -1.3982 eV per atom



4.
First-principles (PBE-GGA) data for a relaxed structure of AcZn9Rh2, as listed in Alexandria.

Cell lengths 3.773, 8.268, 8.268 Å; angles 120.00, 90.00, 90.00 degrees
Atoms (fractional coordinates):
Ac: 0.000 0.000 0.000
Zn: 0.500 0.797 0.203
Zn: 0.000 0.000 0.500
Zn: 0.000 0.500 0.500
Zn: 0.500 0.797 0.594
Zn: 0.500 0.203 0.797
Zn: 0.500 0.594 0.797
Zn: 0.500 0.203 0.406
Zn: 0.000 0.500 0.000
Zn: 0.500 0.406 0.203
Rh: 0.000 0.667 0.333
Rh: 0.000 0.333 0.667

## Properties
Formation energy from the elements: -0.22 eV per atom
DOS at the Fermi energy: 0.57 states/eV/atom
Total magnetization: 0.00 Bohr magnetons per cell
Space group: No. 191
Total energy: -2.7420 eV per atom



5.
First-principles (PBE-GGA) data for a relaxed structure of CdInGaF6, as listed in Alexandria.

Cell lengths 5.716, 5.716, 5.645 Å; angles 90.01, 89.98, 59.97 degrees
Atoms (fractional coordinates):
Cd: 0.667 0.667 0.500
In: 0.000 0.000 0.000
Ga: 0.333 0.333 0.500
F: 0.044 0.354 0.306
F: 0.354 0.044 0.694
F: 0.602 0.354 0.694
F: 0.043 0.602 0.694
F: 0.354 0.602 0.306
F: 0.602 0.043 0.306

## Properties
DOS at the Fermi energy: 0.00 states/eV/atom
Total magnetization: 0.00 Bohr magnetons per cell
Space group: No. 149
Formation energy from raw total energies: -2.295 eV/atom
Total energy: -4.2849 eV per atom



6.
First-principles (PBE-GGA) data for a relaxed structure of TbPm7Zn4, as listed in Alexandria.

Cell lengths 5.622, 9.073, 7.565 Å; angles 75.32, 68.19, 71.95 degrees
Atoms (fractional coordinates):
Tb: 0.000 0.000 0.000
Pm: 0.793 0.879 0.535
Pm: 0.207 0.121 0.465
Pm: 0.068 0.606 0.258
Pm: 0.932 0.394 0.742
Pm: 0.286 0.658 0.770
Pm: 0.500 0.000 0.000
Pm: 0.714 0.342 0.230
Zn: 0.547 0.248 0.657
Zn: 0.453 0.752 0.343
Zn: 0.677 0.664 0.982
Zn: 0.323 0.336 0.018

## Properties
Formation energy from the elements: -0.01 eV per atom
DOS at the Fermi energy: 1.31 states/eV/atom
Total magnetization: 0.16 Bohr magnetons per cell
Space group: No. 12
Total energy: -3.5962 eV per atom



7.
First-principles (PBE-GGA) data for a relaxed structure of SiAgPb4, as listed in Alexandria.

Cell lengths 6.376, 6.376, 6.376 Å; angles 60.00, 60.00, 60.00 degrees
Atoms (fractional coordinates):
Si: 0.750 0.750 0.750
Ag: 0.000 0.000 0.000
Pb: 0.875 0.375 0.375
Pb: 0.375 0.375 0.875
Pb: 0.375 0.875 0.375
Pb: 0.375 0.375 0.375

## Properties
DOS at the Fermi energy: 0.72 states/eV/atom
Total magnetization: 0.00 Bohr magnetons per cell
Space group: No. 216
Formation energy from raw total energies: 0.618 eV/atom
Total energy: -3.2337 eV per atom



8.
First-principles (PBE-GGA) data for a relaxed structure of Er8In2Ge, as listed in Alexandria.

Cell lengths 5.041, 6.664, 9.804 Å; angles 103.71, 104.90, 90.00 degrees
Atoms (fractional coordinates):
Er: 0.410 0.544 0.820
Er: 0.651 0.984 0.301
Er: 0.786 0.689 0.572
Er: 0.979 0.228 0.959
Er: 0.214 0.311 0.428
Er: 0.349 0.016 0.699
Er: 0.590 0.456 0.180
Er: 0.021 0.772 0.041
In: 0.817 0.248 0.633
In: 0.183 0.752 0.367
Ge: 0.500 0.000 0.000

## Properties
Formation energy from the elements: -0.29 eV per atom
DOS at the Fermi energy: 1.07 states/eV/atom
Total magnetization: 0.00 Bohr magnetons per cell
Space group: No. 12
Total energy: -4.5282 eV per atom



9.
First-principles (PBE-GGA) data for a relaxed structure of Ce4SiPb2, as listed in Alexandria.

Cell lengths 4.490, 4.685, 10.836 Å; angles 102.48, 90.00, 90.00 degrees
Atoms (fractional coordinates):
Ce: 0.500 0.417 0.835
Ce: 0.000 0.677 0.354
Ce: 0.500 0.583 0.165
Ce: 0.000 0.323 0.646
Si: 0.000 0.500 0.000
Pb: 0.500 0.807 0.615
Pb: 0.500 0.193 0.385

## Properties
Excess energy over the best structure of this formula in the dataset: 271 meV per atom
DOS at the Fermi energy: 2.31 states/eV/atom
Total magnetization: 3.84 Bohr magnetons per cell
Space group: No. 65
Formation energy from raw total energies: -0.023 eV/atom
Total energy: -5.2484 eV per atom



10.
First-principles (PBE-GGA) data for a relaxed structure of ZrCuBi2S5, as listed in Alexandria.

Cell lengths 3.716, 8.563, 12.972 Å; angles 90.00, 90.00, 102.53 degrees
Atoms (fractional coordinates):
Zr: 0.813 0.625 0.524
Zr: 0.187 0.375 0.024
Cu: 0.564 0.127 0.944
Cu: 0.436 0.873 0.444
Bi: 0.878 0.757 0.814
Bi: 0.111 0.223 0.651
Bi: 0.122 0.243 0.314
Bi: 0.889 0.777 0.151
S: 0.352 0.705 0.001
S: 0.695 0.390 0.889
S: 0.494 0.987 0.791
S: 0.280 0.560 0.664
S: 0.960 0.919 0.546
S: 0.648 0.295 0.501
S: 0.305 0.610 0.389
S: 0.506 0.013 0.291
S: 0.720 0.440 0.164
S: 0.040 0.081 0.046

## Properties
DOS at the Fermi energy: 0.28 states/eV/atom
Total magnetization: 0.00 Bohr magnetons per cell
Space group: No. 36
Formation energy from raw total energies: -0.637 eV/atom
Total energy: -5.1972 eV per atom



11.
First-principles (PBE-GGA) data for a relaxed structure of Tb3Ce2HoS6, as listed in Alexandria.

Cell lengths 6.841, 6.841, 6.861 Å; angles 99.61, 99.61, 120.06 degrees
Atoms (fractional coordinates):
Tb: 0.167 0.833 0.500
Tb: 0.833 0.167 0.500
Tb: 0.500 0.500 0.500
Ce: 0.334 0.666 0.000
Ce: 0.666 0.334 0.000
Ho: 0.000 0.000 0.000
S: 0.915 0.588 0.746
S: 0.758 0.758 0.255
S: 0.085 0.412 0.254
S: 0.588 0.915 0.746
S: 0.242 0.242 0.745
S: 0.412 0.085 0.254

## Properties
DOS at the Fermi energy: 0.99 states/eV/atom
Total magnetization: 1.49 Bohr magnetons per cell
Space group: No. 12
Formation energy from raw total energies: -2.021 eV/atom
Total energy: -6.6132 eV per atom



12.
First-principles (PBE-GGA) data for a relaxed structure of DyHo4Ru, as listed in Alexandria.

Cell lengths 5.997, 7.383, 9.139 Å; angles 113.82, 109.16, 90.00 degrees
Atoms (fractional coordinates):
Dy: 0.800 0.800 0.600
Dy: 0.200 0.200 0.400
Ho: 0.171 0.672 0.343
Ho: 0.386 0.136 0.772
Ho: 0.000 0.209 0.000
Ho: 0.614 0.364 0.228
Ho: 0.829 0.328 0.657
Ho: 0.614 0.864 0.228
Ho: 0.000 0.791 0.000
Ho: 0.386 0.636 0.772
Ru: 0.262 0.500 0.001
Ru: 0.738 0.500 0.999

## Properties
Formation energy from the elements: -0.13 eV per atom
DOS at the Fermi energy: 1.31 states/eV/atom
Total magnetization: 0.00 Bohr magnetons per cell
Space group: No. 12
Total energy: -5.4936 eV per atom